DFT (PBE) results for a relaxed structure of SrTl2Os.

abc: 3.482 3.482 7.911
angles: 90.00 90.00 90.00
Space group P4/mmm (No. 123)
Asymmetric unit:
Sr1 0.000 0.000 0.000 [1 per cell]
Tl1 0.500 0.500 0.299 [2 per cell]
Os1 0.000 0.000 0.500 [1 per cell]

## Properties
formation energy from the elements = 0.4281 eV per atom
N(E_F) = 2.0 states/eV/f.u.
crystal system = tetragonal
calculated total energy = -3.983 eV/atom

---

DFT (PBE) results for a relaxed structure of Sr3SiF.

abc: 7.939 4.139 9.549
angles: 90.00 92.96 90.00
Space group P2_1/m (No. 11)
Asymmetric unit:
Sr1 0.090 0.250 0.330 [2 per cell]
Sr2 0.280 0.250 0.989 [2 per cell]
Sr3 0.373 0.750 0.631 [2 per cell]
Si1 0.372 0.750 0.245 [2 per cell]
F1 0.113 0.250 0.587 [2 per cell]

## Properties
E_form (uncorrected) = -1.238 eV per atom
N(E_F) = 1.4 states/eV/f.u.
crystal system = monoclinic
calculated total energy = -3.706 eV/atom
ΔE to the lowest computed polymorph = 0 meV per atom